This record from Alexandria describes an optimized crystal structure of Ac2Mg12Ga7. The functional is PBE.

a b c (Å): 11.2419 11.2419 4.3899
angles (deg): 90.00 90.00 120.00
Space group P-3 (No. 147)
Inequivalent atoms, fractional coordinates:
Ac (0.3333, 0.6667, 0.2592) x2
Mg (0.0454, 0.4293, 0.7507) x6
Mg (0.1114, 0.2630, 0.2495) x6
Ga (0.0000, 0.0000, 0.5000) x1
Ga (0.1267, 0.7091, 0.7528) x6

Values from the calculation:
- crystal system = trigonal
- total magnetization (μB/f.u.) = 0.0
- ΔE_f (eV/atom) = -0.26